PmNdAlPd after structural relaxation. Source: Alexandria via LeMat-Bulk, functional PBE-GGA.

Geometry as POSCAR:
```
PmNdAlPd
1.0
-1.618 4.958 0.119
-3.371 1.556 3.664
1.587 3.171 3.827
Pd Pm Nd Al
1 1 1 1
Direct
0.000 0.000 0.000
0.250 0.250 0.250
0.750 0.750 0.750
0.500 0.500 0.500
```

Computed properties:
For the formation energy, the calculation gives -1.886 eV/f.u.

---

Mg2TcNi after structural relaxation. Source: Alexandria via LeMat-Bulk, functional PBE-GGA.

Geometry as POSCAR:
```
Mg2TcNi
1.0
5.313 -0.001 0.003
2.482 4.697 -0.003
-3.234 -3.450 2.422
Mg Ni Tc
2 1 1
Direct
0.021 0.021 0.000
0.479 0.479 0.000
0.250 0.750 0.500
0.750 0.250 0.500
```

Computed properties:
For the formation energy, the calculation gives 0.872 eV/f.u.

---

LuFe4Ni after structural relaxation. Source: Alexandria via LeMat-Bulk, functional PBE-GGA.

Geometry as POSCAR:
```
LuFe4Ni
1.0
4.883 0.000 0.000
2.442 4.229 0.000
2.442 1.410 3.987
Fe Ni Lu
4 1 1
Direct
0.126 0.625 0.625
0.625 0.625 0.126
0.625 0.126 0.625
0.625 0.625 0.625
0.250 0.250 0.250
0.000 0.000 0.000
```

Computed properties:
For the formation energy, the calculation gives -0.107 eV/f.u.

---

Na4Tm3ZrS8 after structural relaxation. Source: Alexandria via LeMat-Bulk, functional PBE-GGA.

Geometry as POSCAR:
```
Na4Tm3ZrS8
1.0
-7.564 -0.477 1.591
1.405 -6.322 4.782
3.827 6.601 1.327
S Na Tm Zr
8 4 3 1
Direct
0.251 0.276 0.013
0.763 0.276 0.013
0.258 0.273 0.516
0.237 0.724 0.475
0.749 0.724 0.987
0.237 0.724 0.987
0.742 0.727 0.484
0.763 0.276 0.525
0.000 0.000 0.000
0.500 0.000 0.000
0.500 0.000 0.500
0.000 0.000 0.500
0.000 0.500 0.500
0.500 0.500 0.500
0.500 0.500 0.000
0.000 0.500 0.000
```

Computed properties:
The calculation puts the uncorrected formation energy at -27.84 eV/f.u.

---

CeTl2AsO6 after structural relaxation. Source: Alexandria via LeMat-Bulk, functional PBE-GGA.

Geometry as POSCAR:
```
CeTl2AsO6
1.0
5.896 0.000 0.000
2.948 5.106 0.000
2.948 1.702 10.373
O As Ce Tl
12 2 2 4
Direct
0.815 0.815 0.103
0.611 0.170 0.608
0.185 0.732 0.897
0.611 0.611 0.608
0.185 0.185 0.897
0.389 0.830 0.392
0.170 0.611 0.608
0.830 0.389 0.392
0.389 0.389 0.392
0.268 0.815 0.103
0.815 0.268 0.103
0.732 0.185 0.897
0.000 0.000 0.000
0.500 0.500 0.500
0.597 0.597 0.208
0.403 0.403 0.792
0.152 0.152 0.543
0.713 0.713 0.861
0.848 0.848 0.457
0.287 0.287 0.139
```

Computed properties:
The calculation puts the uncorrected formation energy at -15.24 eV/f.u.

---

Rb4Ho3InTe8 after structural relaxation. Source: Alexandria via LeMat-Bulk, functional PBE-GGA.

Geometry as POSCAR:
```
Rb4Ho3InTe8
1.0
-1.634 -8.469 -2.628
-2.224 -2.501 9.442
-4.675 6.819 -3.602
Te Ho In Rb
8 3 1 4
Direct
0.231 0.696 0.965
0.733 0.699 0.466
0.735 0.696 0.965
0.769 0.304 0.035
0.769 0.304 0.538
0.267 0.301 0.534
0.231 0.696 0.462
0.265 0.304 0.035
0.500 0.500 0.000
0.500 0.500 0.500
0.000 0.500 0.500
0.000 0.500 0.000
0.000 0.000 0.000
0.500 0.000 0.000
0.500 0.000 0.500
0.000 0.000 0.500
```

Computed properties:
The calculation puts the uncorrected formation energy at -18.64 eV/f.u.

---

TbHoErTm3 after structural relaxation. Source: Alexandria via LeMat-Bulk, functional PBE-GGA.

Geometry as POSCAR:
```
TbHoErTm3
1.0
-2.903 -2.765 -2.907
0.708 -3.589 6.932
-7.954 4.854 3.325
Ho Tm Er Tb
2 6 2 2
Direct
0.000 0.000 0.000
0.000 0.000 0.500
0.333 0.666 0.000
0.667 0.334 0.000
0.333 0.666 0.500
0.833 0.666 0.250
0.167 0.334 0.750
0.667 0.334 0.500
0.167 0.335 0.250
0.833 0.665 0.750
0.500 0.000 0.250
0.500 0.000 0.750
```

Computed properties:
For the formation energy, the calculation gives 0.140 eV/f.u.

---

Sr2GeBiS5 after structural relaxation. Source: Alexandria via LeMat-Bulk, functional PBE-GGA.

Geometry as POSCAR:
```
Sr2GeBiS5
1.0
4.249 0.000 0.000
-2.125 8.834 0.000
0.000 0.000 12.260
S Sr Ge Bi
10 4 2 2
Direct
0.027 0.054 0.009
0.674 0.348 0.871
0.648 0.296 0.510
0.494 0.988 0.764
0.506 0.012 0.264
0.973 0.946 0.509
0.289 0.578 0.685
0.711 0.422 0.185
0.352 0.704 0.010
0.326 0.652 0.371
0.114 0.229 0.685
0.876 0.753 0.832
0.886 0.771 0.185
0.124 0.247 0.332
0.549 0.097 0.931
0.451 0.903 0.431
0.205 0.409 0.036
0.795 0.591 0.536
```

Computed properties:
The calculation puts the uncorrected formation energy at -10.24 eV/f.u.